A relaxed structure of AcSmMgSb, computed with PBE-GGA.

Values from the calculation:
magnetization	0.00	μB/f.u.
energy relative to the elements, uncorrected	-0.410	eV per atom

The structure in POSCAR format:
```
AcSmMgSb
1.0
-3.4258 -3.9076 -2.1122
1.8255 -3.4483 -4.0303
0.8893 -5.4206 1.1369
Sb Ac Mg Sm
1 1 1 1
direct
0.5000 0.5000 0.5000
0.2500 0.2500 0.2500
0.0000 0.0000 0.0000
0.7500 0.7500 0.7500
```

---

A relaxed structure of AcMgSnSb3, computed with PBE-GGA.

Values from the calculation:
magnetization	0.00	μB/f.u.
energy relative to the elements, uncorrected	-0.492	eV per atom

The structure in POSCAR format:
```
AcMgSnSb3
1.0
4.5868 0.0000 0.0000
0.0000 7.7817 -1.5489
0.0000 -3.8209 11.0876
Ac Mg Sn Sb
2 2 2 6
direct
0.2500 0.2865 0.2801
0.7500 0.7135 0.7199
0.2500 0.1711 0.5921
0.7500 0.8289 0.4079
0.2500 0.7377 0.1562
0.7500 0.2623 0.8438
0.7500 0.9352 0.0514
0.2500 0.0648 0.9486
0.2500 0.7683 0.5281
0.7500 0.2317 0.4719
0.7500 0.4758 0.1398
0.2500 0.5242 0.8602
```

---

A relaxed structure of SrAcMgSb, computed with PBE-GGA.

Values from the calculation:
magnetization	0.40	μB/f.u.
energy relative to the elements, uncorrected	-0.415	eV per atom

The structure in POSCAR format:
```
SrAcMgSb
1.0
-1.3543 1.3745 5.4436
1.4848 -3.5288 4.3242
4.1495 1.5574 3.7029
Sb Ac Mg Sr
1 1 1 1
direct
0.0000 0.0000 0.0000
0.2500 0.2500 0.2500
0.5000 0.5000 0.5000
0.7500 0.7500 0.7500
```

---

A relaxed structure of Ac2Mg16Sc, computed with PBE-GGA.

Values from the calculation:
magnetization	0.00	μB/f.u.
formation energy from the elements	-6.2	kJ per mole of atoms

The structure in POSCAR format:
```
Ac2Mg16Sc
1.0
-2.2734 4.3381 6.2482
4.9447 -3.2124 5.3158
5.7002 5.5064 -0.4627
Ac Mg Sc
2 16 1
direct
0.6675 0.6675 0.6675
0.3382 0.3382 0.3382
0.7063 0.9995 0.2913
0.9995 0.2913 0.7063
0.2913 0.7063 0.9995
0.9995 0.7063 0.2913
0.7063 0.2913 0.9995
0.2913 0.9995 0.7063
0.3516 0.8407 0.3516
0.8407 0.3516 0.3516
0.3516 0.3516 0.8407
0.6497 0.1496 0.6497
0.1496 0.6497 0.6497
0.6497 0.6497 0.1496
0.9990 0.5003 0.9990
0.5003 0.9990 0.9990
0.9990 0.9990 0.5003
0.1044 0.1044 0.1044
0.9047 0.9047 0.9047
```

---

A relaxed structure of AcMg2Sc, computed with PBE-GGA.

Values from the calculation:
magnetization	0.00	μB/f.u.
formation energy from the elements	13.2	kJ per mole of atoms

The structure in POSCAR format:
```
AcMg2Sc
1.0
-0.1226 2.5609 -2.4765
-3.0612 0.7053 -1.6845
-3.5942 8.3646 6.2624
Sc Ac Mg
1 1 2
direct
0.0000 0.0000 0.0000
0.5000 0.5000 0.5000
0.7418 0.7418 0.7745
0.2582 0.2582 0.2255
```

---

A relaxed structure of AcMgSc2, computed with PBE-GGA.

Values from the calculation:
magnetization	0.00	μB/f.u.
formation energy from the elements	6.1	kJ per mole of atoms

The structure in POSCAR format:
```
AcMgSc2
1.0
3.6902 0.0000 0.0000
0.0000 3.6902 0.0000
0.0000 0.0000 8.3099
Sc Ac Mg
2 1 1
direct
0.0000 0.0000 0.7937
0.0000 0.0000 0.2063
0.5000 0.5000 0.5000
0.5000 0.5000 0.0000
```

---

A relaxed structure of Ac2Mg15Sc2, computed with PBE-GGA.

Values from the calculation:
magnetization	0.86	μB/f.u.
formation energy from the elements	-4.4	kJ per mole of atoms

The structure in POSCAR format:
```
Ac2Mg15Sc2
1.0
-7.6473 0.7944 2.0393
-1.5827 -7.7478 0.8595
1.0584 -0.3364 7.8764
Ac Mg Sc
2 15 2
direct
0.3350 0.3350 0.3350
0.6650 0.6650 0.6650
0.5000 0.0000 0.0000
0.0000 0.0000 0.5000
0.0000 0.5000 0.0000
0.0000 0.7118 0.2882
0.7118 0.2882 0.0000
0.2882 0.0000 0.7118
0.2882 0.7118 0.0000
0.7118 0.0000 0.2882
0.0000 0.2882 0.7118
0.1507 0.6474 0.6474
0.6474 0.6474 0.1507
0.6474 0.1507 0.6474
0.8493 0.3526 0.3526
0.3526 0.3526 0.8493
0.3526 0.8493 0.3526
0.0981 0.0981 0.0981
0.9019 0.9019 0.9019
```

---

A relaxed structure of AcMgSc2, computed with PBE-GGA.

Values from the calculation:
magnetization	0.29	μB/f.u.
formation energy from the elements	19.0	kJ per mole of atoms

The structure in POSCAR format:
```
AcMgSc2
1.0
5.4497 0.0000 0.0000
2.7249 4.7196 0.0000
2.7249 1.5732 4.4497
Sc Ac Mg
2 1 1
direct
0.2500 0.2500 0.2500
0.7500 0.7500 0.7500
0.5000 0.5000 0.5000
0.0000 0.0000 0.0000
```

---

A relaxed structure of AcMg2Sc, computed with PBE-GGA.

Values from the calculation:
magnetization	0.00	μB/f.u.
formation energy from the elements	0.2	kJ per mole of atoms

The structure in POSCAR format:
```
AcMg2Sc
1.0
-1.7700 5.1781 0.2357
-4.9425 1.2973 -1.9723
-4.0480 1.3571 3.4312
Sc Ac Mg
1 1 2
direct
0.5000 0.5000 0.5000
0.0000 0.0000 0.0000
0.2500 0.2500 0.2500
0.7500 0.7500 0.7500
```

---

A relaxed structure of AcMgSc2, computed with PBE-GGA.

Values from the calculation:
magnetization	0.00	μB/f.u.
formation energy from the elements	29.5	kJ per mole of atoms

The structure in POSCAR format:
```
AcMgSc2
1.0
3.4079 0.0000 0.0000
1.7040 2.9514 0.0000
1.7040 0.9838 11.7030
Sc Ac Mg
2 1 1
direct
0.0958 0.0958 0.7125
0.9042 0.9042 0.2875
0.0000 0.0000 0.0000
0.5000 0.5000 0.5000
```

---

A relaxed structure of AcMg9Sc2, computed with PBE-GGA.

Values from the calculation:
magnetization	0.00	μB/f.u.
formation energy from the elements	-1.7	kJ per mole of atoms

The structure in POSCAR format:
```
AcMg9Sc2
1.0
5.7680 0.0000 1.7167
2.6286 5.1343 1.7167
0.0755 0.0462 10.2950
Ac Mg Sc
1 9 2
direct
0.0000 0.0000 0.0000
0.6657 0.6657 0.0028
0.3343 0.3343 0.9972
0.5000 0.5000 0.5000
0.4090 0.4090 0.2621
0.9199 0.4090 0.2621
0.4090 0.9199 0.2621
0.5910 0.5910 0.7379
0.5910 0.0801 0.7379
0.0801 0.5910 0.7379
0.8523 0.8523 0.4432
0.1477 0.1477 0.5568
```

---

A relaxed structure of AcMgSc2, computed with PBE-GGA.

Values from the calculation:
magnetization	0.00	μB/f.u.
formation energy from the elements	16.8	kJ per mole of atoms

The structure in POSCAR format:
```
AcMgSc2
1.0
3.8108 0.0000 0.0000
0.0000 5.4499 0.0000
0.0000 0.0000 5.4499
Sc Ac Mg
2 1 1
direct
0.0000 0.0000 0.5000
0.0000 0.5000 0.0000
0.5000 0.5000 0.5000
0.5000 0.0000 0.0000
```

---

A relaxed structure of AcMg2Sc, computed with PBE-GGA.

Values from the calculation:
magnetization	0.00	μB/f.u.
formation energy from the elements	4.7	kJ per mole of atoms

The structure in POSCAR format:
```
AcMg2Sc
1.0
-1.2798 3.5149 1.3312
-4.7614 -0.8070 -2.4468
-1.8955 -2.3850 4.4753
Sc Ac Mg
1 1 2
direct
0.5000 0.0000 0.0000
0.5000 0.5000 0.5000
0.0000 0.0000 0.5000
0.0000 0.5000 0.0000
```

---

A relaxed structure of AcMg2Sc, computed with PBE-GGA.

Values from the calculation:
magnetization	0.00	μB/f.u.
formation energy from the elements	-1.9	kJ per mole of atoms

The structure in POSCAR format:
```
AcMg2Sc
1.0
-2.1436 1.2682 -2.8666
-2.1933 -3.0879 0.2740
-4.7171 3.8133 5.2144
Sc Ac Mg
1 1 2
direct
0.5000 0.5000 0.0000
0.5000 0.5000 0.5000
0.0000 0.0000 0.7965
0.0000 0.0000 0.2035
```

---

A relaxed structure of Ac5Mg4Sc, computed with PBE-GGA.

Values from the calculation:
magnetization	0.00	μB/f.u.
formation energy from the elements	-3.5	kJ per mole of atoms

The structure in POSCAR format:
```
Ac5Mg4Sc
1.0
-1.4608 3.3828 1.8032
-3.5043 -0.3963 -2.0955
-7.8432 -11.5419 15.2989
Ac Mg Sc
5 4 1
direct
0.5000 0.5000 0.1006
0.5000 0.5000 0.3005
0.5000 0.5000 0.5000
0.5000 0.5000 0.6995
0.5000 0.5000 0.8994
0.0000 0.0000 0.1986
0.0000 0.0000 0.4009
0.0000 0.0000 0.5991
0.0000 0.0000 0.8014
0.0000 0.0000 0.0000
```

---

A relaxed structure of AcMg4Sc, computed with PBE-GGA.

Values from the calculation:
magnetization	0.00	μB/f.u.
formation energy from the elements	-3.2	kJ per mole of atoms

The structure in POSCAR format:
```
AcMg4Sc
1.0
-1.7007 2.3207 5.3831
2.2992 -2.2850 5.1719
3.9534 3.2823 3.2944
Sc Ac Mg
1 1 4
direct
0.0000 0.0000 0.0000
0.2500 0.2500 0.2500
0.6260 0.6260 0.1220
0.6260 0.1220 0.6260
0.6260 0.6260 0.6260
0.1220 0.6260 0.6260
```

---

A relaxed structure of Ac2MgScSe6, computed with PBE-GGA.

Values from the calculation:
magnetization	0.00	μB/f.u.
energy relative to the elements, uncorrected	-1.657	eV per atom

The structure in POSCAR format:
```
Ac2MgScSe6
1.0
-6.0350 1.7947 -2.2862
-3.3405 -5.4635 4.5292
-0.7561 6.7878 7.6305
Ac Mg Sc Se
4 2 2 12
direct
0.0474 0.8951 0.2499
0.5474 0.6049 0.7499
0.9526 0.1049 0.7501
0.4526 0.3951 0.2501
0.5000 0.0000 0.5000
0.0000 0.5000 0.0000
0.5000 0.0000 0.0000
0.0000 0.5000 0.5000
0.3344 0.6885 0.0504
0.8344 0.8115 0.5504
0.6656 0.3115 0.9496
0.1656 0.1885 0.4496
0.3325 0.6824 0.4506
0.8325 0.8176 0.9506
0.6675 0.3176 0.5494
0.1675 0.1824 0.0494
0.8974 0.5215 0.2490
0.3974 0.9785 0.7490
0.1026 0.4785 0.7510
0.6026 0.0215 0.2510
```

---

A relaxed structure of AcMgScSn2, computed with PBE-GGA.

Values from the calculation:
magnetization	0.00	μB/f.u.
formation energy from the elements	-57.0	kJ per mole of atoms

The structure in POSCAR format:
```
AcMgScSn2
1.0
4.6746 0.0000 0.0000
0.0000 4.6746 0.0000
-2.3373 -2.3373 6.4930
Ac Mg Sc Sn
1 1 1 2
direct
0.0000 0.0000 0.0000
0.2500 0.7500 0.5000
0.7500 0.2500 0.5000
0.6149 0.6149 0.2299
0.3851 0.3851 0.7701
```

---

A relaxed structure of AcMgScSn, computed with PBE-GGA.

Values from the calculation:
magnetization	0.00	μB/f.u.
formation energy from the elements	-26.7	kJ per mole of atoms

The structure in POSCAR format:
```
AcMgScSn
1.0
-4.7231 2.1461 -1.5967
-4.6461 -2.6283 0.9843
-3.4851 1.9353 3.6840
Sc Ac Mg Sn
1 1 1 1
direct
0.5000 0.5000 0.5000
0.0000 0.0000 0.0000
0.7500 0.7500 0.7500
0.2500 0.2500 0.2500
```

---

A relaxed structure of Ac2Mg3ScSn4, computed with PBE-GGA.

Values from the calculation:
magnetization	0.00	μB/f.u.
formation energy from the elements	-45.5	kJ per mole of atoms

The structure in POSCAR format:
```
Ac2Mg3ScSn4
1.0
-1.0153 -1.7826 -4.3750
-1.4102 -4.1565 2.0208
-11.2650 4.2508 0.8822
Ac Mg Sc Sn
2 3 1 4
direct
0.5000 0.0000 0.2331
0.0000 0.5000 0.7669
0.0000 0.0000 0.5000
0.5000 0.0000 0.8720
0.0000 0.5000 0.1280
0.5000 0.5000 0.5000
0.5000 0.5000 0.0000
0.0000 0.0000 0.0000
0.5000 0.0000 0.6426
0.0000 0.5000 0.3574
```

---

A relaxed structure of SrAcMgSc, computed with PBE-GGA.

Values from the calculation:
magnetization	0.00	μB/f.u.
formation energy from the elements	14.2	kJ per mole of atoms

The structure in POSCAR format:
```
SrAcMgSc
1.0
5.8376 0.0000 0.0000
2.9188 5.0555 0.0000
2.9188 1.6852 4.7663
Sc Sr Ac Mg
1 1 1 1
direct
0.0000 0.0000 0.0000
0.7500 0.7500 0.7500
0.2500 0.2500 0.2500
0.5000 0.5000 0.5000
```

---

A relaxed structure of AcTbMgSc, computed with PBE-GGA.

Values from the calculation:
magnetization	0.01	μB/f.u.
formation energy from the elements	5.5	kJ per mole of atoms

The structure in POSCAR format:
```
AcTbMgSc
1.0
-3.2229 -4.5443 -0.5553
0.1880 -3.0055 -4.7199
2.3192 -5.0958 0.0167
Sc Ac Tb Mg
1 1 1 1
direct
0.0000 0.0000 0.0000
0.2500 0.2500 0.2500
0.7500 0.7500 0.7500
0.5000 0.5000 0.5000
```

---

A relaxed structure of Ac2MgScTe5, computed with PBE-GGA.

Values from the calculation:
magnetization	0.00	μB/f.u.
energy relative to the elements, uncorrected	-1.314	eV per atom

The structure in POSCAR format:
```
Ac2MgScTe5
1.0
4.4865 0.0000 0.0000
-2.2432 9.7171 0.0000
0.0000 0.0000 13.5179
Ac Mg Sc Te
4 2 2 10
direct
0.8669 0.7338 0.8054
0.1156 0.2313 0.6871
0.1331 0.2662 0.3054
0.8844 0.7687 0.1871
0.5612 0.1224 0.9539
0.4388 0.8776 0.4539
0.7987 0.5975 0.5147
0.2013 0.4025 0.0147
0.3541 0.7083 0.0006
0.6930 0.3860 0.8595
0.4971 0.9941 0.7757
0.2866 0.5732 0.6600
0.9482 0.8963 0.5671
0.6459 0.2917 0.5006
0.3070 0.6140 0.3595
0.5029 0.0059 0.2757
0.7134 0.4268 0.1600
0.0518 0.1037 0.0671
```

---

A relaxed structure of AcMg2ScTl4, computed with PBE-GGA.

Values from the calculation:
magnetization	0.00	μB/f.u.
formation energy from the elements	-19.6	kJ per mole of atoms

The structure in POSCAR format:
```
AcMg2ScTl4
1.0
4.9996 0.0000 0.0000
2.4998 4.3298 0.0000
2.4998 1.4433 10.0880
Ac Mg Sc Tl
1 2 1 4
direct
0.0000 0.0000 0.0000
0.7588 0.7588 0.7235
0.2412 0.2412 0.2765
0.5000 0.5000 0.5000
0.3937 0.3937 0.8188
0.8707 0.8707 0.3879
0.1293 0.1293 0.6121
0.6063 0.6063 0.1812
```

---

A relaxed structure of AcMgScTl, computed with PBE-GGA.

Values from the calculation:
magnetization	0.00	μB/f.u.
formation energy from the elements	-12.6	kJ per mole of atoms

The structure in POSCAR format:
```
AcMgScTl
1.0
-2.6193 3.8251 2.9411
-5.3969 -0.4491 0.9020
-1.8527 -1.1948 5.0281
Sc Ac Mg Tl
1 1 1 1
direct
0.0000 0.0000 0.0000
0.5000 0.5000 0.5000
0.7500 0.7500 0.7500
0.2500 0.2500 0.2500
```